Entry from the Alexandria database: a relaxed BaNiSe crystal (PBE).

a = 4.4004 Å, b = 4.4924 Å, c = 8.6644 Å
α = 90.00°, β = 104.64°, γ = 90.00°
With the nearest neighbours (Å) after each atom.
Space group Pm (No. 6)
One atom of each set of equivalent atoms:
Ba  0.0000  0.0000  0.0000 (multiplicity 1)  2 Ni 3.15, 6 Se 3.38-3.39
Ba  0.2653  0.0000  0.5345 (multiplicity 1)  6 Ni 3.19-3.29, 4 Se 3.43
Ni  0.1306  0.5000  0.2636 (multiplicity 1)  2 Se 2.40, 2 Ni 2.56
Ni  0.7079  0.5000  0.4195 (multiplicity 1)  2 Se 2.26-2.32
Se  0.5742  0.5000  0.1499 (multiplicity 1)  3 Ni 2.26-2.40
Se  0.8461  0.5000  0.6968 (multiplicity 1)  1 Ni 2.32

Output
ρ: 5.511 g cm⁻³
Raw formation energy: -0.92 eV/atom
Total magnetization: 0.000 μB/atom